1.
Ba2OsAu after structural relaxation. Source: Alexandria, functional GGA-PBEsol.

POSCAR file:
```
Ba2OsAu
1.0
4.2082 -1.6394 0.0000
4.2082 1.6394 0.0000
-1.0554 0.0000 8.3960
Ba Os Au
2 1 1
Direct
0.2470 0.2470 0.2309
0.7530 0.7530 0.7691
0.5000 0.5000 0.0000
0.0000 0.0000 0.5000
```

Values from the calculation:
The calculated volume comes out at 28.96 A^3/atom. The calculation puts the total energy at -4.516 eV per atom. For the energy above the most stable polymorph in this dataset, the calculation gives 219 meV per atom. The magnetization comes out at 0.40 μB per formula unit. The value obtained for the density of states at the Fermi level is 3.71 states/eV/cell.



2.
BaOsAu2 after structural relaxation. Source: Alexandria, functional GGA-PBEsol.

POSCAR file:
```
BaOsAu2
1.0
0.0000 3.4798 3.4798
3.4798 0.0000 3.4798
3.4798 3.4798 0.0000
Ba Os Au
1 1 2
Direct
0.0000 0.0000 0.0000
0.2500 0.2500 0.2500
0.5000 0.5000 0.5000
0.7500 0.7500 0.7500
```

Values from the calculation:
The calculated volume comes out at 21.07 A^3/atom. The calculation puts the total energy at -4.645 eV per atom. For the energy above the most stable polymorph in this dataset, the calculation gives 306 meV per atom. The magnetization comes out at 1.37 μB per formula unit. The value obtained for the density of states at the Fermi level is 7.45 states/eV/cell.



3.
Ba2OsAu after structural relaxation. Source: Alexandria, functional GGA-PBEsol.

POSCAR file:
```
Ba2OsAu
1.0
4.5267 0.0000 0.0000
0.0000 4.5267 0.0000
0.0000 0.0000 6.3031
Ba Os Au
2 1 1
Direct
0.0000 0.0000 0.0000
0.5000 0.5000 0.5004
0.0000 0.0000 0.4998
0.5000 0.5000 0.0007
```

Values from the calculation:
The calculated volume comes out at 32.29 A^3/atom. The calculation puts the total energy at -4.474 eV per atom. For the energy above the most stable polymorph in this dataset, the calculation gives 260 meV per atom. The magnetization comes out at 1.26 μB per formula unit. The value obtained for the density of states at the Fermi level is 3.17 states/eV/cell.



4.
BaOsW2Au after structural relaxation. Source: Alexandria, functional GGA-PBEsol.

POSCAR file:
```
BaOsW2Au
1.0
4.9099 0.0000 0.0000
0.0000 4.9099 0.0000
0.0000 0.0000 4.8588
Ba Os W Au
1 1 2 1
Direct
0.0000 0.0000 0.0000
0.0000 0.0000 0.5000
0.0000 0.5000 0.0000
0.5000 0.0000 0.0000
0.5000 0.5000 0.5000
```

Values from the calculation:
The calculated volume comes out at 23.43 A^3/atom. The calculation puts the total energy at -5.228 eV per atom. The magnetization comes out at 0.00 μB per formula unit. The value obtained for the density of states at the Fermi level is 8.56 states/eV/cell.



| no. | calculated formation energy (eV/atom) | mass density (Mg/m³) |
| --- | --- | --- |
| 1 | 0.59 | 9.49 |
| 2 | 0.91 | 14.22 |
| 3 | 0.64 | 8.51 |
| 4 | 3.95 | 12.65 |